The following is a DFT calculation (PBE) of Sr2MnAs4Pt3 after structural relaxation.

Cell lengths 4.4289, 4.4289, 10.4141 Å; angles 90.00, 90.00, 90.00 degrees
Closest atoms and distances in Å follow each position.
Fractional coordinates of all 10 atoms:
Sr (0.0000, 0.5000, 0.2463)  8 As 3.37-3.39, 6 Pt 3.39-3.45, 2 Mn 3.45
Sr (0.5000, 0.0000, 0.7537)  8 As 3.37-3.39, 6 Pt 3.39-3.45, 2 Mn 3.45
Mn (0.0000, 0.0000, 0.5000)  4 As 2.61
As (0.0000, 0.0000, 0.0000)  4 Pt 2.55
As (0.0000, 0.5000, 0.6335)  3 Pt 2.55-2.61, 2 Mn 2.61
As (0.5000, 0.0000, 0.3665)  3 Pt 2.55-2.61, 2 Mn 2.61
As (0.5000, 0.5000, 0.0000)  4 Pt 2.55
Pt (0.0000, 0.5000, 0.8784)  5 As 2.55
Pt (0.5000, 0.0000, 0.1216)  5 As 2.55
Pt (0.5000, 0.5000, 0.5000)  4 As 2.61

Computed properties:
uncorrected energy = -5.6724 eV/atom
symmetry = No. 115

=====

The following is a DFT calculation (PBE) of FeOs2Se after structural relaxation.

Cell lengths 5.2060, 5.2060, 2.8171 Å; angles 104.15, 104.15, 118.65 degrees
Closest atoms and distances in Å follow each position.
Fractional coordinates of all 4 atoms:
Fe (0.0000, 0.0000, 0.0000)  4 Os 2.64, 4 Se 2.66-2.80, 2 Fe 2.82
Os (0.0000, 0.5000, 0.5000)  2 Se 2.64, 2 Fe 2.64, 6 Os 2.66-2.82
Os (0.5000, 0.0000, 0.5000)  2 Fe 2.64, 2 Se 2.64, 6 Os 2.66-2.82
Se (0.5000, 0.5000, 0.0000)  4 Os 2.64, 4 Fe 2.66-2.80, 2 Se 2.82

Computed properties:
symmetry = No. 12
ΔE_f (raw) = 0.728 eV/atom

=====

The following is a DFT calculation (PBE) of FeSe3N after structural relaxation.

Cell lengths 4.2875, 4.2875, 4.2875 Å; angles 90.00, 90.00, 90.00 degrees
Closest atoms and distances in Å follow each position.
Fractional coordinates of all 5 atoms:
Fe (0.0000, 0.0000, 0.0000)  12 Se 3.03
Se (0.0000, 0.5000, 0.5000)  2 N 2.14
Se (0.5000, 0.0000, 0.5000)  2 N 2.14
Se (0.5000, 0.5000, 0.0000)  2 N 2.14
N (0.5000, 0.5000, 0.5000)  6 Se 2.14

Computed properties:
symmetry = No. 221
ΔE_f (raw) = 1.261 eV/atom

=====

The following is a DFT calculation (PBE) of KNaSm2F8 after structural relaxation.

Cell lengths 5.9322, 3.9608, 7.8994 Å; angles 90.00, 90.05, 90.00 degrees
Closest atoms and distances in Å follow each position.
Fractional coordinates of all 12 atoms:
K (0.0000, 0.0000, 0.0000)  8 F 2.61-2.65
Na (0.0000, 0.0000, 0.5000)  8 F 2.51-2.56
Sm (0.5004, 0.5000, 0.2544)  8 F 2.36-2.37
Sm (0.4996, 0.5000, 0.7456)  8 F 2.36-2.37
F (0.2731, 0.5000, 0.4997)  2 Sm 2.36, 2 Na 2.56
F (0.2797, 0.0000, 0.7391)  2 Sm 2.37, 1 Na 2.51, 1 F 2.61, 1 K 2.65
F (0.2811, 0.0000, 0.2605)  2 Sm 2.37, 1 Na 2.52, 1 F 2.61, 1 K 2.65
F (0.2874, 0.5000, 0.9999)  2 Sm 2.37, 1 F 2.52, 2 K 2.61
F (0.7126, 0.5000, 0.0001)  2 Sm 2.37, 1 F 2.52, 2 K 2.61
F (0.7189, 0.0000, 0.7395)  2 Sm 2.37, 1 Na 2.52, 1 F 2.61, 1 K 2.65
F (0.7203, 0.0000, 0.2609)  2 Sm 2.37, 1 Na 2.51, 1 F 2.61, 1 K 2.65
F (0.7269, 0.5000, 0.5003)  2 Sm 2.36, 2 Na 2.56

Computed properties:
symmetry = No. 10
ΔE_f (raw) = -3.683 eV/atom

=====

The following is a DFT calculation (PBE) of Pr2HgB3Pt12 after structural relaxation.

Cell lengths 7.5102, 7.5102, 7.5102 Å; angles 64.49, 64.49, 64.49 degrees
Closest atoms and distances in Å follow each position.
Fractional coordinates of all 18 atoms:
Pr (0.1017, 0.1017, 0.1017)  6 Pt 2.93-3.10
Pr (0.8983, 0.8983, 0.8983)  6 Pt 2.93-3.10
Hg (0.5000, 0.5000, 0.5000)  6 Pt 2.60
B (0.0000, 0.5000, 0.5000)  6 Pt 2.13-2.16
B (0.5000, 0.0000, 0.5000)  6 Pt 2.13-2.16
B (0.5000, 0.5000, 0.0000)  6 Pt 2.13-2.16
Pt (0.0979, 0.6309, 0.6309)  1 B 2.13
Pt (0.1782, 0.1782, 0.5888)  2 B 2.16
Pt (0.1782, 0.5888, 0.1782)  2 B 2.16
Pt (0.3691, 0.3691, 0.9021)  1 B 2.13
Pt (0.3691, 0.9021, 0.3691)  1 B 2.13
Pt (0.4112, 0.8218, 0.8218)  2 B 2.16
Pt (0.5888, 0.1782, 0.1782)  2 B 2.16
Pt (0.6309, 0.0979, 0.6309)  1 B 2.13
Pt (0.6309, 0.6309, 0.0979)  1 B 2.13
Pt (0.8218, 0.4112, 0.8218)  2 B 2.16
Pt (0.8218, 0.8218, 0.4112)  2 B 2.16
Pt (0.9021, 0.3691, 0.3691)  1 B 2.13

Computed properties:
uncorrected energy = -5.9986 eV/atom
symmetry = No. 166

=====

The following is a DFT calculation (PBE) of Dy2PaAs after structural relaxation.

Cell lengths 10.5003, 10.5003, 10.5003 Å; angles 19.69, 19.69, 19.69 degrees
Closest atoms and distances in Å follow each position.
Fractional coordinates of all 4 atoms:
Dy (0.1078, 0.1078, 0.1078)  3 As 2.76
Dy (0.8922, 0.8922, 0.8922)  3 As 2.76
Pa (0.0000, 0.0000, 0.0000)  2 Dy 3.33, 6 Pa 3.59
As (0.5000, 0.5000, 0.5000)  6 Dy 2.76

Computed properties:
uncorrected energy = -5.9340 eV/atom
symmetry = No. 166

=====

The following is a DFT calculation (PBE) of Li2SbPb after structural relaxation.

Cell lengths 9.4264, 9.4264, 9.4264 Å; angles 20.78, 20.78, 20.78 degrees
Closest atoms and distances in Å follow each position.
Fractional coordinates of all 4 atoms:
Li (0.2429, 0.2429, 0.2429)  3 Sb 2.88, 3 Pb 3.18
Li (0.7571, 0.7571, 0.7571)  3 Sb 2.88, 3 Pb 3.18
Sb (0.5000, 0.5000, 0.5000)  6 Li 2.88
Pb (0.0000, 0.0000, 0.0000)  6 Li 3.18, 6 Pb 3.40

Computed properties:
symmetry = No. 166
ΔE_f (raw) = -0.282 eV/atom

=====

The following is a DFT calculation (PBE) of CaNdGd2 after structural relaxation.

Cell lengths 5.1787, 5.1787, 5.1717 Å; angles 90.00, 90.00, 90.00 degrees
Closest atoms and distances in Å follow each position.
Fractional coordinates of all 4 atoms:
Ca (0.0000, 0.0000, 0.0000)  8 Gd 3.66, 4 Nd 3.66
Nd (0.5000, 0.5000, 0.0000)  8 Gd 3.66, 4 Ca 3.66
Gd (0.0000, 0.5000, 0.5000)  4 Nd 3.66, 4 Ca 3.66, 4 Gd 3.66
Gd (0.5000, 0.0000, 0.5000)  4 Nd 3.66, 4 Ca 3.66, 4 Gd 3.66

Computed properties:
uncorrected energy = -8.6344 eV/atom
symmetry = No. 123

=====

The following is a DFT calculation (PBE) of Mn2IrOs after structural relaxation.

Cell lengths 8.5919, 8.5919, 8.5919 Å; angles 17.83, 17.83, 17.83 degrees
Closest atoms and distances in Å follow each position.
Fractional coordinates of all 4 atoms:
Mn (0.0000, 0.0000, 0.0000)  9 Mn 2.52-2.66, 3 Ir 2.58
Mn (0.2546, 0.2546, 0.2546)  9 Mn 2.52-2.66, 3 Os 2.56
Ir (0.7482, 0.7482, 0.7482)  3 Mn 2.58, 6 Ir 2.66, 3 Os 2.80
Os (0.5074, 0.5074, 0.5074)  3 Mn 2.56, 6 Os 2.66, 3 Ir 2.80

Computed properties:
uncorrected energy = -9.4930 eV/atom
symmetry = No. 160

=====

The following is a DFT calculation (PBE) of Tl2GaSbRh after structural relaxation.

Cell lengths 5.7411, 5.7411, 5.1519 Å; angles 90.00, 90.00, 90.00 degrees
Closest atoms and distances in Å follow each position.
Fractional coordinates of all 5 atoms:
Tl (0.0000, 0.5000, 0.0000)  2 Sb 2.87
Tl (0.5000, 0.0000, 0.0000)  2 Sb 2.87
Ga (0.0000, 0.0000, 0.5000)  2 Sb 2.58
Sb (0.0000, 0.0000, 0.0000)  2 Ga 2.58, 4 Tl 2.87
Rh (0.5000, 0.5000, 0.5000)  8 Tl 3.86, 4 Ga 4.06

Computed properties:
symmetry = No. 123
ΔE_f (raw) = 1.124 eV/atom

=====

The following is a DFT calculation (PBE) of CsTbPuI6 after structural relaxation.

Cell lengths 8.0457, 8.0457, 8.7277 Å; angles 90.00, 90.00, 120.00 degrees
Closest atoms and distances in Å follow each position.
Fractional coordinates of all 9 atoms:
Cs (0.0000, 0.0000, 0.0000)  6 I 3.91
Tb (0.6667, 0.3333, 0.5000)  6 I 3.07
Pu (0.3333, 0.6667, 0.5000)  6 I 3.20
I (0.3749, 0.0127, 0.7085)  1 Tb 3.07, 1 Pu 3.20
I (0.3749, 0.3621, 0.2915)  1 Tb 3.07, 1 Pu 3.20
I (0.6379, 0.0127, 0.2915)  1 Tb 3.07, 1 Pu 3.20
I (0.6379, 0.6251, 0.7085)  1 Tb 3.07, 1 Pu 3.20
I (0.9872, 0.3621, 0.7085)  1 Tb 3.07, 1 Pu 3.20
I (0.9872, 0.6251, 0.2915)  1 Tb 3.07, 1 Pu 3.20

Computed properties:
symmetry = No. 149
ΔE_f (raw) = -1.321 eV/atom

=====

The following is a DFT calculation (PBE) of CaZn2In after structural relaxation.

Cell lengths 3.6216, 3.6216, 6.9005 Å; angles 90.00, 90.00, 90.00 degrees
Closest atoms and distances in Å follow each position.
Fractional coordinates of all 4 atoms:
Ca (0.0000, 0.0000, 0.0000)  8 Zn 3.17, 2 In 3.45
Zn (0.5000, 0.5000, 0.2713)  4 In 3.01, 1 Zn 3.16, 4 Ca 3.17
Zn (0.5000, 0.5000, 0.7287)  4 In 3.01, 1 Zn 3.16, 4 Ca 3.17
In (0.0000, 0.0000, 0.5000)  8 Zn 3.01

Computed properties:
uncorrected energy = -1.9672 eV/atom
symmetry = No. 123